! CsMnF3 | Alexandria | PBE with a Hubbard U | optimized geometry; values from VASP
&SYSTEM
  ibrav = 0, nat = 10, ntyp = 3
/
ATOMIC_SPECIES
F 19.00 F.upf
Mn 54.94 Mn.upf
Cs 132.91 Cs.upf
CELL_PARAMETERS angstrom
-9.327 9.874 -9.843
-0.611 6.397 -4.826
2.433 -7.355 2.139
ATOMIC_POSITIONS angstrom
F -8.420 11.775 -12.038
F -2.485 5.158 -5.655
F 0.916 -2.859 -0.492
F -4.884 6.266 -7.677
F -2.620 2.650 -4.853
F -5.020 3.758 -6.875
Mn -0.750 -2.888 -1.611
Mn -6.755 11.804 -10.919
Cs -2.511 7.966 -6.674
Cs -4.993 0.950 -5.857
! VASP energy = -53.8 eV per cell
! M_tot = 1.0000 μB per atom
! Volume = 209 Å³/cell